# 1
Compound: AlTl2Ir
Source: the Alexandria database
Functional: GGA-PBEsol
Structure: relaxed

Lattice parameters (Å, degrees): 4.0087 4.0463 10.0424 90.00 90.00 90.00
Space group Amm2 (No. 38)
Inequivalent atoms, fractional coordinates:
Al 0.0000 0.0000 0.0000 (multiplicity 2)
Tl 0.0000 0.0000 0.2801 (multiplicity 2)
Tl 0.5000 0.0000 0.5820 (multiplicity 2)
Ir 0.5000 0.0000 0.8652 (multiplicity 2)

Results
D(E_F)	0.53	states/eV/atom
volume	163	Å³/cell
electronic total energy	-4.65	eV per atom
size of the total moment	0.00	μB per cell

# 2
Compound: LiW2Cl
Source: the Alexandria database
Functional: GGA-PBEsol
Structure: relaxed

Lattice parameters (Å, degrees): 3.5026 3.5026 6.6913 90.00 90.00 90.00
Space group P4/mmm (No. 123)
Inequivalent atoms, fractional coordinates:
Li 0.0000 0.0000 0.0000 (multiplicity 1)
W 0.0000 0.5000 0.5000 (multiplicity 2)
Cl 0.5000 0.5000 0.0000 (multiplicity 1)

Results
D(E_F)	0.85	states/eV/atom
volume	82	Å³/cell
electronic total energy	-7.08	eV per atom
size of the total moment	0.00	μB per cell
formation energy (no corrections)	0.82	eV per atom

# 3
Compound: LaBi2HRh
Source: the Alexandria database
Functional: GGA-PBEsol
Structure: relaxed

Lattice parameters (Å, degrees): 6.2068 6.2068 4.7834 90.00 90.00 90.00
Space group P4/mmm (No. 123)
Inequivalent atoms, fractional coordinates:
La 0.0000 0.0000 0.0000 (multiplicity 1)
Bi 0.0000 0.5000 0.0000 (multiplicity 2)
H 0.5000 0.5000 0.5000 (multiplicity 1)
Rh 0.0000 0.0000 0.5000 (multiplicity 1)

Results
D(E_F)	0.90	states/eV/atom
volume	184	Å³/cell
electronic total energy	-3.83	eV per atom
size of the total moment	0.82	μB per cell

# 4
Compound: CdCo
Source: the Alexandria database
Functional: GGA-PBEsol
Structure: relaxed

Lattice parameters (Å, degrees): 2.7825 2.7825 4.4122 90.00 90.00 120.00
Space group P-6m2 (No. 187)
Inequivalent atoms, fractional coordinates:
Cd 0.0000 0.0000 0.0000 (multiplicity 1)
Co 0.6667 0.3333 0.5000 (multiplicity 1)

Results
D(E_F)	1.26	states/eV/atom
volume	30	Å³/cell
electronic total energy	-4.03	eV per atom
size of the total moment	1.44	μB per cell

# 5
Compound: SiAg2O3
Source: the Alexandria database
Functional: GGA-PBEsol
Structure: relaxed

Lattice parameters (Å, degrees): 4.5638 6.8358 10.1274 90.00 90.00 90.00
Space group P2_12_12_1 (No. 19)
Inequivalent atoms, fractional coordinates:
Si 0.0366 0.1379 0.0632 (multiplicity 4)
Ag 0.0207 0.5970 0.7768 (multiplicity 4)
Ag 0.1025 0.6309 0.1225 (multiplicity 4)
O 0.1142 0.4273 0.4625 (multiplicity 4)
O 0.1898 0.1496 0.2098 (multiplicity 4)
O 0.2068 0.8176 0.4508 (multiplicity 4)

Results
volume	316	Å³/cell
electronic total energy	-6.07	eV per atom
size of the total moment	0.00	μB per cell
formation energy (no corrections)	-1.39	eV per atom

# 6
Compound: CdIn2Ag
Source: the Alexandria database
Functional: GGA-PBEsol
Structure: relaxed

Lattice parameters (Å, degrees): 10.5818 3.0870 5.4330 90.00 104.69 90.00
Space group Cm (No. 8)
Inequivalent atoms, fractional coordinates:
Cd 0.0000 0.0000 0.0000 (multiplicity 2)
In 0.0422 0.5000 0.5284 (multiplicity 2)
In 0.2589 0.5000 0.1850 (multiplicity 2)
Ag 0.2879 0.0000 0.6828 (multiplicity 2)

Results
D(E_F)	0.40	states/eV/atom
volume	172	Å³/cell
electronic total energy	-2.60	eV per atom
size of the total moment	0.00	μB per cell

# 7
Compound: SrCrHg4
Source: the Alexandria database
Functional: GGA-PBEsol
Structure: relaxed

Lattice parameters (Å, degrees): 8.2490 8.2490 8.2490 90.00 90.00 90.00
Space group F-43m (No. 216)
Inequivalent atoms, fractional coordinates:
Sr 0.0000 0.0000 0.0000 (multiplicity 4)
Cr 0.2500 0.2500 0.7500 (multiplicity 4)
Hg 0.1245 0.1245 0.3755 (multiplicity 16)

Results
D(E_F)	0.38	states/eV/atom
volume	561	Å³/cell
electronic total energy	-2.32	eV per atom
size of the total moment	16.88	μB per cell

# 8
Compound: MgFeW2
Source: the Alexandria database
Functional: GGA-PBEsol
Structure: relaxed

Lattice parameters (Å, degrees): 2.6402 4.3279 5.2465 90.00 98.97 90.00
Space group Pm (No. 6)
Inequivalent atoms, fractional coordinates:
Mg 0.0000 0.0000 0.0000 (multiplicity 1)
Fe 0.2154 0.5000 0.7562 (multiplicity 1)
W 0.4502 0.0000 0.5127 (multiplicity 1)
W 0.6815 0.5000 0.2634 (multiplicity 1)

Results
D(E_F)	0.67	states/eV/atom
volume	59	Å³/cell
electronic total energy	-9.19	eV per atom
size of the total moment	1.78	μB per cell